# 1
Compound: Eu3Si2Ni6
Source: the Alexandria database
Functional: PBE
Structure: optimized geometry

Properties
raw formation energy = -405 meV per atom
calculated total energy = -7.3471 eV/atom
D(E_F) = 2.12 states/eV/atom

Cell lengths 7.7359, 7.7359, 7.7359 Å; angles 109.47, 109.47, 109.47 degrees
Last column: nearest neighbours and their distance in Å.
Atoms (fractional coordinates):
1 Ni 0.6733 0.0000 0.3267  2 Si 2.43, 4 Ni 2.58
2 Ni 0.6733 0.3467 0.6733  2 Si 2.43, 4 Ni 2.58
3 Ni 0.3267 0.0000 0.6733  2 Si 2.43, 4 Ni 2.58
4 Ni 0.3267 0.6733 0.0000  2 Si 2.43, 4 Ni 2.58
5 Ni 0.6533 0.3267 0.3267  2 Si 2.43, 4 Ni 2.58
6 Ni 0.3267 0.6533 0.3267  2 Si 2.43, 4 Ni 2.58
7 Ni 0.3267 0.3267 0.6533  2 Si 2.43, 4 Ni 2.58
8 Ni 0.6733 0.3267 0.0000  2 Si 2.43, 4 Ni 2.58
9 Ni 0.3467 0.6733 0.6733  2 Si 2.43, 4 Ni 2.58
10 Ni 0.0000 0.3267 0.6733  2 Si 2.43, 4 Ni 2.58
11 Ni 0.6733 0.6733 0.3467  2 Si 2.43, 4 Ni 2.58
12 Ni 0.0000 0.6733 0.3267  2 Si 2.43, 4 Ni 2.58
13 Eu 0.2864 0.0000 0.2864  8 Ni 2.90-2.94, 4 Si 3.17
14 Eu 0.0000 0.2864 0.2864  8 Ni 2.90-2.94, 4 Si 3.17
15 Eu 0.0000 0.7136 0.7136  8 Ni 2.90-2.94, 4 Si 3.17
16 Eu 0.2864 0.2864 0.0000  8 Ni 2.90-2.94, 4 Si 3.17
17 Eu 0.7136 0.0000 0.7136  8 Ni 2.90-2.94, 4 Si 3.17
18 Eu 0.7136 0.7136 0.0000  8 Ni 2.90-2.94, 4 Si 3.17
19 Si 0.0000 0.0000 0.5000  6 Ni 2.43
20 Si 0.0000 0.5000 0.0000  6 Ni 2.43
21 Si 0.5000 0.0000 0.0000  6 Ni 2.43
22 Si 0.5000 0.5000 0.5000  6 Ni 2.43

---

# 2
Compound: EuSi2Ni
Source: the Alexandria database
Functional: PBE
Structure: optimized geometry

Properties
raw formation energy = -652 meV per atom
calculated total energy = -7.3778 eV/atom
energy relative to the lowest polymorph listed for this composition = 0.000 eV/atom
D(E_F) = 1.95 states/eV/atom

Cell lengths 8.5347, 8.5347, 4.0405 Å; angles 90.00, 90.00, 151.71 degrees
Last column: nearest neighbours and their distance in Å.
Atoms (fractional coordinates):
1 Eu 0.6069 0.3931 0.2500  10 Si 3.10-3.22, 4 Ni 3.15
2 Eu 0.3931 0.6069 0.7500  10 Si 3.10-3.22, 4 Ni 3.15
3 Si 0.9590 0.0410 0.2500  1 Ni 2.31, 2 Si 2.43
4 Si 0.2505 0.7495 0.2500  4 Ni 2.33-2.38
5 Si 0.0410 0.9590 0.7500  1 Ni 2.31, 2 Si 2.43
6 Si 0.7495 0.2505 0.7500  4 Ni 2.33-2.38
7 Ni 0.1804 0.8196 0.7500  5 Si 2.31-2.38
8 Ni 0.8196 0.1804 0.2500  5 Si 2.31-2.38

---

- Number 2 is which compound?
  EuSi2Ni

---

- Which value of D(E_F) does entry 2 give?
  1.95 states/eV/atom

---

- What is the raw formation energy in the second record?
  -652 meV per atom

---

- What is the raw formation energy in the first record?
  -405 meV per atom